(1)
A relaxed structure of CoRhBr2, computed with PBE.

abc: 5.793 5.793 6.929
angles: 65.29 65.29 90.00
Each line ends with the local moment (μB).
Fractional positions:
Br 0.601 0.125 0.250  0.17
Co 0.500 0.500 0.000  2.05
Br 0.875 0.851 0.750  0.17
Rh 0.000 0.000 0.000  1.37
Co 0.250 0.750 0.500  2.04
Rh 0.750 0.250 0.500  1.36
Br 0.149 0.625 0.250  0.17
Br 0.375 0.399 0.750  0.17

Output
SG: I-42d
VASP energy: -4.0243 eV/atom
Excess energy over the best structure of this formula in the dataset: 0.361 eV/atom



(2)
A relaxed structure of CoRh2Br, computed with PBE.

abc: 4.644 4.644 4.644
angles: 128.62 128.62 75.62
Each line ends with the local moment (μB).
Fractional positions:
Co 0.750 0.250 0.500  1.85
Rh 0.000 0.000 0.000  0.35
Br 0.250 0.750 0.500  0.03
Rh 0.500 0.500 0.000  0.35

Output
SG: I4/mmm
VASP energy: -5.1713 eV/atom
Excess energy over the best structure of this formula in the dataset: 0.270 eV/atom



(3)
A relaxed structure of CoRhBr, computed with PBE.

abc: 5.699 5.699 3.041
angles: 74.52 74.53 30.95
Each line ends with the local moment (μB).
Fractional positions:
Rh 0.686 0.686 0.314  1.07
Br 0.992 0.992 0.008  0.11
Co 0.322 0.322 0.678  2.11

Output
SG: I4mm
VASP energy: -4.8214 eV/atom
Excess energy over the best structure of this formula in the dataset: 0.028 eV/atom



(4)
A relaxed structure of CoRh2Br, computed with PBE.

abc: 4.429 4.429 6.450
angles: 84.48 84.48 37.45
Each line ends with the local moment (μB).
Fractional positions:
Br 0.638 0.638 0.470  0.01
Rh 0.692 0.692 0.848  0.02
Co 0.218 0.218 0.171  1.47
Rh 0.952 0.952 0.011  0.24

Output
SG: Cm
VASP energy: -5.3581 eV/atom
Excess energy over the best structure of this formula in the dataset: 0.083 eV/atom